1.
Below is a geometry-optimized La2NdAl structure, with properties calculated at the GGA-PBE level.

abc: 5.592 5.592 5.592
angles: 60.00 60.00 60.00
Element x y z (fractional)
La1 0.250 0.250 0.250
La2 0.750 0.750 0.750
Nd1 0.000 0.000 0.000
Al1 0.500 0.500 0.500

As for the total energy: -4.632 eV per atom. The value obtained for the total magnetization is 0.00 μB per formula unit. As for the space-group type: Fm-3m. For the distance to the lowest polymorph of the same formula, the calculation gives 151.7 meV/atom.



2.
Below is a geometry-optimized MoPdPt3 structure, with properties calculated at the GGA-PBE level.

abc: 8.142 8.142 8.142
angles: 38.03 38.03 38.03
Element x y z (fractional)
Mo1 0.132 0.132 0.132
Mo2 0.868 0.868 0.868
Pd1 0.335 0.335 0.335
Pd2 0.665 0.665 0.665
Pt1 0.103 0.602 0.602
Pt2 0.398 0.398 0.897
Pt3 0.398 0.897 0.398
Pt4 0.602 0.103 0.602
Pt5 0.602 0.602 0.103
Pt6 0.897 0.398 0.398

As for the total energy: -6.708 eV per atom. The value obtained for the total magnetization is 0.00 μB per formula unit. As for the space-group type: R-3m. For the distance to the lowest polymorph of the same formula, the calculation gives 56.5 meV/atom.



3.
Below is a geometry-optimized BeZn2Cl structure, with properties calculated at the GGA-PBE level.

abc: 4.759 4.759 7.498
angles: 112.80 112.80 36.76
Element x y z (fractional)
Be1 0.000 0.000 0.000
Zn1 0.273 0.273 0.784
Zn2 0.538 0.538 0.748
Cl1 0.587 0.587 0.201

As for the total energy: -2.075 eV per atom. The value obtained for the total magnetization is 0.00 μB per formula unit. As for the space-group type: Cm. For the distance to the lowest polymorph of the same formula, the calculation gives 47.4 meV/atom. The formation energy without anion corrections is -0.05 eV per atom.



4.
Below is a geometry-optimized AcGaSb2O8 structure, with properties calculated at the GGA-PBE level.

abc: 5.011 6.601 5.015
angles: 90.00 95.54 90.00
Element x y z (fractional)
Ac1 0.000 0.000 0.000
Ga1 0.000 0.500 0.000
Sb1 0.500 0.266 0.500
Sb2 0.500 0.734 0.500
O1 0.210 0.289 0.205
O2 0.210 0.711 0.205
O3 0.310 0.500 0.686
O4 0.333 0.000 0.661
O5 0.667 0.000 0.339
O6 0.690 0.500 0.314
O7 0.790 0.289 0.795
O8 0.790 0.711 0.795

As for the total energy: -6.355 eV per atom. The value obtained for the total magnetization is 0.00 μB per formula unit. As for the space-group type: P2/m. The formation energy without anion corrections is -1.77 eV per atom.



5.
Below is a geometry-optimized AlGe3Ru structure, with properties calculated at the GGA-PBE level.

abc: 4.768 4.768 4.768
angles: 90.00 90.00 90.00
Element x y z (fractional)
Al1 0.000 0.000 0.000
Ge1 0.000 0.000 0.500
Ge2 0.000 0.500 0.000
Ge3 0.500 0.000 0.000
Ru1 0.500 0.500 0.500

As for the total energy: -4.221 eV per atom. The value obtained for the total magnetization is 1.74 μB per formula unit. As for the space-group type: Pm-3m. For the distance to the lowest polymorph of the same formula, the calculation gives 785.4 meV/atom.



6.
Below is a geometry-optimized AgPb structure, with properties calculated at the GGA-PBE level.

abc: 3.730 4.674 5.919
angles: 90.00 107.79 90.00
Element x y z (fractional)
Ag1 0.072 0.250 0.153
Ag2 0.928 0.750 0.847
Pb1 0.357 0.250 0.698
Pb2 0.643 0.750 0.302

As for the total energy: -3.219 eV per atom. The value obtained for the total magnetization is 0.00 μB per formula unit. As for the space-group type: P2_1/m.



7.
Below is a geometry-optimized PmPr2Co structure, with properties calculated at the GGA-PBE level.

abc: 7.138 10.009 6.426
angles: 90.00 90.00 90.00
Element x y z (fractional)
Pm1 0.045 0.250 0.153
Pm2 0.455 0.750 0.653
Pm3 0.545 0.250 0.347
Pm4 0.955 0.750 0.847
Pr1 0.171 0.071 0.676
Pr2 0.171 0.429 0.676
Pr3 0.329 0.571 0.176
Pr4 0.329 0.929 0.176
Pr5 0.671 0.071 0.824
Pr6 0.671 0.429 0.824
Pr7 0.829 0.571 0.324
Pr8 0.829 0.929 0.324
Co1 0.117 0.750 0.443
Co2 0.383 0.250 0.943
Co3 0.617 0.750 0.057
Co4 0.883 0.250 0.557

As for the total energy: -5.408 eV per atom. The value obtained for the total magnetization is 0.00 μB per formula unit. As for the space-group type: Pnma. For the distance to the lowest polymorph of the same formula, the calculation gives 0.0 meV/atom.



8.
Below is a geometry-optimized KTl2TeI6 structure, with properties calculated at the GGA-PBE level.

abc: 8.209 8.929 8.940
angles: 61.43 63.51 66.17
Element x y z (fractional)
K1 0.000 0.000 0.000
Tl1 0.274 0.135 0.300
Tl2 0.791 0.589 0.840
Te1 0.479 0.541 0.497
I1 0.098 0.829 0.689
I2 0.210 0.340 0.591
I3 0.404 0.782 0.147
I4 0.570 0.307 0.831
I5 0.698 0.778 0.417
I6 0.857 0.277 0.234

As for the total energy: -2.363 eV per atom. The value obtained for the total magnetization is 1.03 μB per formula unit. As for the space-group type: P1. The formation energy without anion corrections is -0.54 eV per atom.



9.
Below is a geometry-optimized BaNa2CdAu structure, with properties calculated at the GGA-PBE level.

abc: 5.636 5.636 5.422
angles: 90.00 90.00 90.00
Element x y z (fractional)
Ba1 0.000 0.000 0.000
Na1 0.000 0.500 0.500
Na2 0.500 0.000 0.500
Cd1 0.500 0.500 0.000
Au1 0.500 0.500 0.500

As for the total energy: -1.906 eV per atom. The value obtained for the total magnetization is 0.00 μB per formula unit. As for the space-group type: P4/mmm. For the distance to the lowest polymorph of the same formula, the calculation gives 7.5 meV/atom.



10.
Below is a geometry-optimized Cs2Rb2CuH4 structure, with properties calculated at the GGA-PBE level.

abc: 7.557 7.557 7.557
angles: 113.74 113.74 101.24
Element x y z (fractional)
Cs1 0.250 0.750 0.500
Cs2 0.750 0.250 0.500
Rb1 0.199 0.199 0.000
Rb2 0.801 0.801 0.000
Cu1 0.500 0.500 0.000
H1 0.363 0.363 0.725
H2 0.363 0.637 0.000
H3 0.637 0.363 0.000
H4 0.637 0.637 0.275

As for the total energy: -2.173 eV per atom. The value obtained for the total magnetization is 0.00 μB per formula unit. As for the space-group type: I4/mmm.



11.
Below is a geometry-optimized LuCoSe2 structure, with properties calculated at the GGA-PBE level.

abc: 8.227 8.227 8.227
angles: 25.33 25.33 25.33
Element x y z (fractional)
Lu1 0.000 0.000 0.000
Co1 0.500 0.500 0.500
Se1 0.116 0.116 0.116
Se2 0.884 0.884 0.884

As for the total energy: -5.028 eV per atom. The value obtained for the total magnetization is 0.00 μB per formula unit. As for the space-group type: R-3m. The formation energy without anion corrections is -0.38 eV per atom.



12.
Below is a geometry-optimized MgZn2HW structure, with properties calculated at the GGA-PBE level.

abc: 4.138 4.138 3.846
angles: 90.00 90.00 90.00
Element x y z (fractional)
Mg1 0.000 0.000 0.000
Zn1 0.000 0.500 0.500
Zn2 0.500 0.000 0.500
H1 0.500 0.500 0.500
W1 0.500 0.500 0.000

As for the total energy: -3.742 eV per atom. The value obtained for the total magnetization is 0.23 μB per formula unit. As for the space-group type: P4/mmm.



13.
Below is a geometry-optimized Na2Dy2TcO6 structure, with properties calculated at the GGA-PBE level.

abc: 5.746 5.746 5.881
angles: 97.76 97.76 119.76
Element x y z (fractional)
Na1 0.150 0.850 0.000
Na2 0.850 0.150 0.000
Dy1 0.336 0.664 0.500
Dy2 0.664 0.336 0.500
Tc1 0.000 0.000 0.500
O1 0.046 0.361 0.694
O2 0.244 0.244 0.301
O3 0.361 0.046 0.694
O4 0.639 0.954 0.306
O5 0.756 0.756 0.699
O6 0.954 0.639 0.306

As for the total energy: -7.096 eV per atom. The value obtained for the total magnetization is 3.00 μB per formula unit. As for the space-group type: C2/m. The formation energy without anion corrections is -2.37 eV per atom.